Entry 1:
Compound: V2Fe
Source: Alexandria
Functional: PBE
Structure: relaxed

* DFT formation energy: -0.47 eV per formula unit
* total DFT energy (no corrections): -9.057 eV per atom
* symmetry: P-3m1 (164)

Lattice parameters (Å, degrees): 4.0912 4.0912 5.0197 90.00 90.00 120.00
With the nearest neighbours (Å) after each atom.
Element x y z (fractional)
V  0.1667  0.3333  0.3345  5 Fe 2.49-2.53, 3 V 2.50
V  0.8333  0.6667  0.6655  5 Fe 2.49-2.53, 3 V 2.50
V  0.5000  0.0000  0.5000  8 V 2.50-2.51
V  0.5000  0.0000  0.0000  6 Fe 2.50, 2 V 2.51
Fe  0.1667  0.3333  0.8382  8 V 2.49-2.53
Fe  0.8333  0.6667  0.1618  8 V 2.49-2.53

***

Entry 2:
Compound: V3Fe
Source: Alexandria
Functional: PBE
Structure: relaxed

* DFT formation energy: 0.14 eV per formula unit
* total DFT energy (no corrections): -8.919 eV per atom
* symmetry: I4/mmm (139)

Lattice parameters (Å, degrees): 3.4438 3.4438 4.9488 110.36 110.36 90.00
With the nearest neighbours (Å) after each atom.
Element x y z (fractional)
Fe  0.0000  0.0000  0.0000  4 V 2.44
V  0.7500  0.2500  0.5000  4 V 2.44
V  0.2500  0.7500  0.5000  4 V 2.44
V  0.5000  0.5000  0.0000  4 Fe 2.44